The following is a DFT calculation (PBE) of crystalline TbIn6Pd12 at its relaxed geometry.

a = 11.3038 Å, b = 11.3038 Å, c = 9.7115 Å
α = 90.00°, β = 90.00°, γ = 120.00°
Space group R-3 (No. 148, hexagonal axes)
Inequivalent atoms, fractional coordinates:
Tb: 0.0000 0.0000 0.0000
In: 0.0606 0.8779 0.7272
Pd: 0.0221 0.7560 0.9893
Pd: 0.0604 0.5455 0.1232

Output
- Formation energy: -0.338 eV/atom
- E_tot: -269.38 eV for the cell shown

---

The following is a DFT calculation (PBE) of crystalline TbInPd2 at its relaxed geometry.

a = 6.8127 Å, b = 6.8127 Å, c = 6.8127 Å
α = 90.00°, β = 90.00°, γ = 90.00°
Space group Fm-3m (No. 225)
Inequivalent atoms, fractional coordinates:
Tb: 0.0000 0.0000 0.0000
In: 0.0000 0.0000 0.5000
Pd: 0.2500 0.2500 0.2500

Output
- Formation energy: -0.802 eV/atom
- E_tot: -83.85 eV for the cell shown

---

The following is a DFT calculation (PBE) of crystalline Tb11In9Pd4 at its relaxed geometry.

a = 14.6891 Å, b = 22.1104 Å, c = 3.6944 Å
α = 90.00°, β = 90.00°, γ = 90.00°
Space group Cmmm (No. 65)
Inequivalent atoms, fractional coordinates:
Tb: 0.0000 0.0000 0.0000
Tb: 0.0000 0.1607 0.0000
Tb: 0.0000 0.3720 0.0000
Tb: 0.1921 0.5000 0.0000
Tb: 0.2427 0.1710 0.0000
In: 0.0000 0.5000 0.5000
In: 0.1051 0.2625 0.5000
In: 0.1444 0.0716 0.5000
Pd: 0.1525 0.3989 0.5000

Output
- Formation energy: -0.677 eV/atom
- E_tot: -225.20 eV for the cell shown

---

The following is a DFT calculation (PBE) of crystalline Tb4InPd7 at its relaxed geometry.

a = 10.7850 Å, b = 5.2325 Å, c = 10.3896 Å
α = 90.00°, β = 118.91°, γ = 90.00°
Space group C2/m (No. 12)
Inequivalent atoms, fractional coordinates:
Tb: 0.0924 0.0000 0.2867
Tb: 0.2092 0.5000 0.1332
In: 0.0000 0.5000 0.5000
Pd: 0.0000 0.0000 0.5000
Pd: 0.0769 0.5000 0.8098
Pd: 0.1327 0.0000 0.0217
Pd: 0.2106 0.5000 0.4075

Output
- Formation energy: -0.690 eV/atom
- E_tot: -131.78 eV for the cell shown

---

The following is a DFT calculation (PBE) of crystalline Tb3In2Pd2 at its relaxed geometry.

a = 3.9682 Å, b = 22.8235 Å, c = 3.7471 Å
α = 90.00°, β = 90.00°, γ = 90.00°
Space group Cmmm (No. 65)
Inequivalent atoms, fractional coordinates:
Tb: 0.0000 0.0000 0.0000
Tb: 0.0000 0.1699 0.0000
In: 0.0000 0.4171 0.5000
Pd: 0.0000 0.2911 0.5000

Output
- Formation energy: -0.716 eV/atom
- E_tot: -69.53 eV for the cell shown

---

The following is a DFT calculation (PBE) of crystalline Tb2In2Pd5 at its relaxed geometry.

a = 15.0491 Å, b = 7.0957 Å, c = 7.1822 Å
α = 90.00°, β = 90.00°, γ = 90.00°
Space group Ima2 (No. 46)
Inequivalent atoms, fractional coordinates:
Tb: 0.1201 0.0652 0.0000
In: 0.0000 0.0000 0.6098
In: 0.2500 0.5299 0.8689
Pd: 0.0065 0.6871 0.7966
Pd: 0.1612 0.6806 0.1675
Pd: 0.2500 0.1846 0.6993

Output
- Formation energy: -0.587 eV/atom
- E_tot: -183.93 eV for the cell shown

---

The following is a DFT calculation (PBE) of crystalline Tb6In3Pd at its relaxed geometry.

a = 9.2823 Å, b = 5.2859 Å, c = 11.5428 Å
α = 90.00°, β = 108.15°, γ = 90.00°
Space group P2_1/m (No. 11)
Inequivalent atoms, fractional coordinates:
Tb: 0.0396 0.2500 0.4153
Tb: 0.1772 0.7500 0.1698
Tb: 0.2715 0.2500 0.0037
Tb: 0.3526 0.7500 0.8230
Tb: 0.3668 0.2500 0.3417
Tb: 0.4032 0.2500 0.6353
In: 0.0213 0.7500 0.8787
In: 0.1112 0.2500 0.7187
In: 0.2748 0.7500 0.4746
Pd: 0.4563 0.7500 0.1008

Output
- Formation energy: -0.432 eV/atom
- E_tot: -91.01 eV for the cell shown

---

The following is a DFT calculation (PBE) of crystalline Tb12InPd6 at its relaxed geometry.

a = 14.2050 Å, b = 14.2050 Å, c = 8.9950 Å
α = 90.00°, β = 90.00°, γ = 120.00°
Space group R-3 (No. 148, hexagonal axes)
Inequivalent atoms, fractional coordinates:
Tb: 0.0397 0.2530 0.4276
Tb: 0.0578 0.1772 0.8246
In: 0.0000 0.0000 0.5000
Pd: 0.0712 0.4995 0.7807

Output
- Formation energy: -0.497 eV/atom
- E_tot: -296.69 eV for the cell shown
- Energy above the most stable polymorph in this dataset: 0.1165 eV per atom

---

> What is the formula in the fifth record?

Tb3In2Pd2

---

What did the first record say?
The following is a DFT calculation (PBE) of crystalline TbIn6Pd12 at its relaxed geometry.

a = 11.3038 Å, b = 11.3038 Å, c = 9.7115 Å
α = 90.00°, β = 90.00°, γ = 120.00°
Space group R-3 (No. 148, hexagonal axes)
Inequivalent atoms, fractional coordinates:
Tb: 0.0000 0.0000 0.0000
In: 0.0606 0.8779 0.7272
Pd: 0.0221 0.7560 0.9893
Pd: 0.0604 0.5455 0.1232

Output
- Formation energy: -0.338 eV/atom
- E_tot: -269.38 eV for the cell shown

---

> What is the E_tot in the sixth record?

-183.93 eV for the cell shown

---

> Which of these has the highest formation energy?

TbIn6Pd12